{"formula": "VPdAu2", "functional": "PBE", "state": "relaxed", "e_form_mev_per_atom": 292, "density_g_cm3": 12.51, "m_tot_mub_per_atom": 0.70, "dft_energy_ev_per_cell": -39.39, "relative_energy_mev_per_atom": 352, "lattice": [[-0.8224, -6.7108, 2.8874], [3.6598, -2.8932, -5.6819], [3.7472, -4.5067, -0.0477]], "species": ["Au", "Au", "Au", "Pd", "Au", "V", "Pd", "V"], "frac_coords": [[0.1340, 0.6250, 0.2500], [0.8750, 0.8660, 0.7500], [0.3750, 0.3840, 0.7500], [0.0000, 0.0000, 0.0000], [0.6160, 0.1250, 0.2500], [0.5000, 0.5000, 0.0000], [0.7500, 0.2500, 0.5000], [0.2500, 0.7500, 0.5000]]}

{"formula": "NbTcSN2", "functional": "PBE", "state": "relaxed", "formation_energy_uncorrected_ev_per_atom": 0.6224, "density_g_cm3": 5.79, "m_tot_mub_per_atom": 0.35, "dft_energy_ev_per_cell": -38.10, "relative_energy_mev_per_atom": 0, "lattice": [[-3.0712, -1.9278, 1.2144], [2.2086, -3.0195, 0.7924], [0.7200, 1.7217, 4.5540]], "species": ["Tc", "N", "S", "Nb", "N"], "frac_coords": [[0.0000, 0.0000, 0.0000], [0.5000, 0.0000, 0.0000], [0.0000, 0.0000, 0.5000], [0.5000, 0.5000, 0.5000], [0.0000, 0.5000, 0.0000]]}

{"formula": "Zr2BiB", "functional": "PBE", "state": "relaxed", "e_form_mev_per_atom": 445, "density_g_cm3": 8.42, "m_tot_mub_per_atom": 0.00, "dft_energy_ev_per_cell": -25.87, "relative_energy_mev_per_atom": 959, "lattice": [[0.0000, 3.4106, 3.4106], [3.4106, 0.0000, 3.4106], [3.4106, 3.4106, 0.0000]], "species": ["Bi", "Zr", "Zr", "B"], "frac_coords": [[0.5000, 0.5000, 0.5000], [0.2500, 0.2500, 0.2500], [0.7500, 0.7500, 0.7500], [0.0000, 0.0000, 0.0000]]}

{"formula": "YAs2Ir2", "functional": "PBE", "state": "relaxed", "e_form_mev_per_atom": -568, "density_g_cm3": 11.15, "m_tot_mub_per_atom": 0.00, "dft_energy_ev_per_cell": -36.32, "lattice": [[-0.2820, -2.4865, 3.1873], [-0.3258, -3.1706, -2.5024], [5.3174, -3.4291, 0.3713]], "species": ["As", "Ir", "Ir", "As", "Y"], "frac_coords": [[0.3784, 0.3784, 0.2433], [0.2500, 0.7500, 0.5000], [0.7500, 0.2500, 0.5000], [0.6216, 0.6216, 0.7567], [0.0000, 0.0000, 0.0000]]}

{"formula": "CuTeN2F", "functional": "PBE", "state": "relaxed", "formation_energy_uncorrected_ev_per_atom": 1.1802, "density_g_cm3": 4.78, "m_tot_mub_per_atom": 0.76, "dft_energy_ev_per_cell": -19.86, "relative_energy_mev_per_atom": 352, "lattice": [[3.6992, 0.0000, 0.0000], [0.0000, 3.6992, 0.0000], [0.0000, 0.0000, 6.0471]], "species": ["N", "Cu", "F", "Te", "N"], "frac_coords": [[0.5000, 0.0000, 0.0000], [0.0000, 0.0000, 0.0000], [0.5000, 0.5000, 0.5000], [0.0000, 0.0000, 0.5000], [0.0000, 0.5000, 0.0000]]}

{"formula": "LaTb2Sm", "functional": "PBE", "state": "relaxed", "e_form_mev_per_atom": 120, "density_g_cm3": 7.46, "m_tot_mub_per_atom": 0.00, "dft_energy_ev_per_cell": -18.43, "relative_energy_mev_per_atom": 107, "lattice": [[-2.3720, 1.6719, -2.3060], [0.5423, -3.4935, -6.0698], [-4.0333, -5.1483, -2.5629]], "species": ["Tb", "Tb", "Sm", "La"], "frac_coords": [[0.5064, 0.4936, 0.4936], [0.9936, 0.0064, 0.0064], [0.2500, 0.2500, 0.2500], [0.7500, 0.7500, 0.7500]]}